No. 1
# ScBe2SiPt

A relaxed structure of ScBe2SiPt (PBE, Alexandria).

Results
space-group type = P4/mmm
total DFT energy (no corrections) = -3.56 eV per atom

```
data_ScBe2SiPt
_cell_length_a 4.6802
_cell_length_b 4.7779
_cell_length_c 4.6802
_cell_angle_alpha 90.00
_cell_angle_beta 90.00
_cell_angle_gamma 90.00
_symmetry_space_group_name_H-M 'P 1'
_symmetry_Int_Tables_number 1
loop_
_symmetry_equiv_pos_as_xyz
'x,y,z'
loop_
_atom_site_label
_atom_site_type_symbol
_atom_site_fract_x
_atom_site_fract_y
_atom_site_fract_z
Pt1 Pt 0.0000 0.5000 0.0000
Be1 Be 0.5000 0.0000 0.0000
Be2 Be 0.0000 0.0000 0.5000
Si1 Si 0.5000 0.5000 0.5000
Sc1 Sc 0.0000 0.0000 0.0000
```



No. 2
# AsPIrF2

A relaxed structure of AsPIrF2 (PBE, Alexandria).

Results
space-group type = P4/mmm
total DFT energy (no corrections) = -4.84 eV per atom

```
data_AsPIrF2
_cell_length_a 3.7026
_cell_length_b 5.6818
_cell_length_c 3.7026
_cell_angle_alpha 90.00
_cell_angle_beta 90.00
_cell_angle_gamma 90.00
_symmetry_space_group_name_H-M 'P 1'
_symmetry_Int_Tables_number 1
loop_
_symmetry_equiv_pos_as_xyz
'x,y,z'
loop_
_atom_site_label
_atom_site_type_symbol
_atom_site_fract_x
_atom_site_fract_y
_atom_site_fract_z
Ir1 Ir 0.5000 0.5000 0.5000
As1 As 0.0000 0.5000 0.0000
F1 F 0.0000 0.0000 0.5000
F2 F 0.5000 0.0000 0.0000
P1 P 0.0000 0.0000 0.0000
```



| no. | calculated density (Mg/m³) |
| --- | --- |
| 1 | 4.540 |
| 2 | 7.165 |